First-principles (PBE) data for ScGa3Pb after structural relaxation, as listed in Alexandria.

Space group = Pm-3m
DOS at the Fermi energy = 4.89 states/eV per cell
Total energy = -3.4433 eV/atom
Energy relative to the lowest polymorph listed for this composition = 0 meV/atom
DFT formation energy = 0.38 eV per atom

a = 5.217 Å, b = 5.217 Å, c = 5.217 Å
α = 90.00°, β = 90.00°, γ = 90.00°
Element x y z (fractional)
Ga (0.000, 0.500, 0.000)
Ga (0.500, 0.000, 0.000)
Ga (0.000, 0.000, 0.500)
Pb (0.500, 0.500, 0.500)
Sc (0.000, 0.000, 0.000)